# 1
The following is a PBE calculation of an optimized crystal structure of Zr3B, from the Open Quantum Materials Database.

Computed properties:
**Density**: 6.563 g/cm³
**ΔE to the lowest computed polymorph**: 378 meV per atom
**Space-group type**: P6_3/mmc, No. 194

Cell and atoms, written as POSCAR:
```
Zr3B
1.0
5.957 0.000 0.000
-2.978 5.159 0.000
0.000 0.000 4.685
Zr B
6 2
Direct
0.176 0.353 0.250
0.176 0.824 0.250
0.353 0.176 0.750
0.647 0.824 0.250
0.824 0.176 0.750
0.824 0.647 0.750
0.333 0.667 0.750
0.667 0.333 0.250
```

---

# 2
The following is a PBE calculation of an optimized crystal structure of NaPrGa, from the Open Quantum Materials Database.

Computed properties:
**Density**: 4.308 g/cm³
**ΔE to the lowest computed polymorph**: 0 meV per atom
**Space-group type**: F-43m, No. 216

Cell and atoms, written as POSCAR:
```
NaPrGa
1.0
0.000 3.558 3.558
3.558 0.000 3.558
3.558 3.558 0.000
Na Pr Ga
1 1 1
Direct
0.000 0.000 0.000
0.500 0.500 0.500
0.250 0.250 0.250
```

---

# 3
The following is a PBE calculation of an optimized crystal structure of LaLuSi, from the Open Quantum Materials Database.

Computed properties:
**Density**: 6.701 g/cm³
**ΔE to the lowest computed polymorph**: 0 meV per atom
**Space-group type**: F-43m, No. 216

Cell and atoms, written as POSCAR:
```
LaLuSi
1.0
0.000 3.486 3.486
3.486 0.000 3.486
3.486 3.486 0.000
La Lu Si
1 1 1
Direct
0.000 0.000 0.000
0.500 0.500 0.500
0.250 0.250 0.250
```

---

# 4
The following is a PBE calculation of an optimized crystal structure of NaAlOs, from the Open Quantum Materials Database.

Computed properties:
**Density**: 6.926 g/cm³
**ΔE to the lowest computed polymorph**: 1225 meV per atom
**Space-group type**: F-43m, No. 216

Cell and atoms, written as POSCAR:
```
NaAlOs
1.0
0.000 3.065 3.065
3.065 0.000 3.065
3.065 3.065 0.000
Na Al Os
1 1 1
Direct
0.000 0.000 0.000
0.750 0.750 0.750
0.250 0.250 0.250
```

---

# 5
The following is a PBE calculation of an optimized crystal structure of CsTbSi, from the Open Quantum Materials Database.

Computed properties:
**Density**: 4.852 g/cm³
**Space-group type**: F-43m, No. 216
**VASP energy**: -3.1773 eV/atom

Cell and atoms, written as POSCAR:
```
CsTbSi
1.0
0.000 3.797 3.797
3.797 0.000 3.797
3.797 3.797 0.000
Cs Tb Si
1 1 1
Direct
0.000 0.000 0.000
0.500 0.500 0.500
0.250 0.250 0.250
```

---

# 6
The following is a PBE calculation of an optimized crystal structure of Zr2Ge3Au2, from the Open Quantum Materials Database.

Computed properties:
**Density**: 9.391 g/cm³
**Space-group type**: R3m, No. 160
**VASP energy**: -5.5839 eV/atom

Cell and atoms, written as POSCAR:
```
Zr2Ge3Au2
1.0
2.180 1.259 8.527
-2.180 1.259 8.527
0.000 -2.518 8.527
Zr Ge Au
2 3 2
Direct
0.000 0.000 0.000
0.495 0.495 0.495
0.390 0.390 0.390
0.618 0.618 0.618
0.859 0.859 0.859
0.247 0.247 0.247
0.748 0.748 0.748
```

---

# 7
The following is a PBE calculation of an optimized crystal structure of FeCuAgBi, from the Open Quantum Materials Database.

Computed properties:
**Density**: 10.424 g/cm³
**ΔE to the lowest computed polymorph**: 0 meV per atom
**Space-group type**: F-43m, No. 216

Cell and atoms, written as POSCAR:
```
FeCuAgBi
1.0
0.000 3.263 3.263
3.263 0.000 3.263
3.263 3.263 0.000
Fe Cu Ag Bi
1 1 1 1
Direct
0.000 0.000 0.000
0.500 0.500 0.500
0.750 0.750 0.750
0.250 0.250 0.250
```

---

# 8
The following is a PBE calculation of an optimized crystal structure of Dy2Er2CI5, from the Open Quantum Materials Database.

Computed properties:
**Density**: 6.865 g/cm³
**ΔE to the lowest computed polymorph**: 0 meV per atom
**Space-group type**: C2/m, No. 12

Cell and atoms, written as POSCAR:
```
Dy2Er2CI5
1.0
9.584 -1.975 0.000
9.584 1.975 0.000
-1.831 0.000 8.345
Dy Er C I
2 2 1 5
Direct
0.001 0.001 0.310
0.999 0.999 0.690
0.373 0.373 0.437
0.627 0.627 0.563
0.500 0.500 0.500
0.163 0.163 0.837
0.167 0.167 0.325
0.500 0.500 0.000
0.833 0.833 0.675
0.837 0.837 0.163
```

---

# 9
The following is a PBE calculation of an optimized crystal structure of RbNaZrSe3, from the Open Quantum Materials Database.

Computed properties:
**Density**: 4.076 g/cm³
**ΔE to the lowest computed polymorph**: 1 meV per atom
**Space-group type**: P2_1/m, No. 11

Cell and atoms, written as POSCAR:
```
RbNaZrSe3
1.0
9.148 0.000 0.000
0.000 4.083 0.000
-3.158 0.000 9.522
Rb Na Zr Se
2 2 2 6
Direct
0.235 0.250 0.263
0.765 0.750 0.737
0.063 0.250 0.607
0.937 0.750 0.393
0.326 0.750 0.852
0.674 0.250 0.148
0.141 0.250 0.891
0.254 0.750 0.574
0.466 0.750 0.141
0.534 0.250 0.859
0.746 0.250 0.426
0.859 0.750 0.109
```

---

# 10
The following is a PBE calculation of an optimized crystal structure of TmCuSi, from the Open Quantum Materials Database.

Computed properties:
**Density**: 8.033 g/cm³
**Space-group type**: P6_3/mmc, No. 194
**VASP energy**: -4.8059 eV/atom

Cell and atoms, written as POSCAR:
```
TmCuSi
1.0
4.710 0.000 0.000
-2.355 4.079 0.000
0.000 0.000 5.608
Tm Cu Si
2 2 2
Direct
0.333 0.667 0.250
0.667 0.333 0.750
0.000 0.000 0.000
0.000 0.000 0.500
0.333 0.667 0.750
0.667 0.333 0.250
```

---

# 11
The following is a PBE calculation of an optimized crystal structure of ScCoCu4Si2, from the Open Quantum Materials Database.

Computed properties:
**Density**: 6.733 g/cm³
**Space-group type**: P4/mmm, No. 123
**VASP energy**: -4.9736 eV/atom

Cell and atoms, written as POSCAR:
```
ScCoCu4Si2
1.0
4.177 0.000 0.000
0.000 4.177 0.000
0.000 0.000 5.855
Sc Co Cu Si
1 1 4 2
Direct
0.000 0.000 0.000
0.500 0.500 0.500
0.000 0.500 0.269
0.000 0.500 0.731
0.500 0.000 0.269
0.500 0.000 0.731
0.000 0.000 0.500
0.500 0.500 0.000
```

---

# 12
The following is a PBE calculation of an optimized crystal structure of LiNdNiSe3, from the Open Quantum Materials Database.

Computed properties:
**Density**: 5.417 g/cm³
**Space-group type**: Cmcm, No. 63
**VASP energy**: -4.8327 eV/atom

Cell and atoms, written as POSCAR:
```
LiNdNiSe3
1.0
1.969 -6.360 0.000
1.969 6.360 0.000
0.000 0.000 10.934
Li Nd Ni Se
2 2 2 6
Direct
0.228 0.772 0.750
0.772 0.228 0.250
0.000 0.000 0.000
0.000 0.000 0.500
0.483 0.517 0.250
0.517 0.483 0.750
0.090 0.910 0.250
0.349 0.651 0.096
0.349 0.651 0.404
0.651 0.349 0.596
0.651 0.349 0.904
0.910 0.090 0.750
```